Entry 1:
Computed, not measured: FeSb2Pb after structural relaxation at the PBE level of DFT.

Geometry as CIF:
```
data_FeSb2Pb
_cell_length_a 5.1711
_cell_length_b 5.1711
_cell_length_c 3.8915
_cell_angle_alpha 86.83
_cell_angle_beta 86.83
_cell_angle_gamma 104.90
_symmetry_space_group_name_H-M 'P 1'
_symmetry_Int_Tables_number 1
loop_
_symmetry_equiv_pos_as_xyz
'x,y,z'
loop_
_atom_site_label
_atom_site_fract_x
_atom_site_fract_y
_atom_site_fract_z
_atom_site_occupancy
Fe1 0.5000 0.0000 0.5000 1
Pb1 0.0000 0.5000 0.5000 1
Sb1 0.5000 0.5000 0.0000 1
Sb2 0.0000 0.0000 0.0000 1
```

Calculated values
V = 100 Å³ per cell
SG = C2/m (12)
raw total energy = -4.56 eV per atom
ρ = 8.40 g/cm3
M_tot = 3.0 μB per cell
E_form (uncorrected) = 0.54 eV/atom

---

Entry 2:
Computed, not measured: Tb2ErSc4 after structural relaxation at the PBE level of DFT.

Geometry as CIF:
```
data_Tb2ErSc4
_cell_length_a 3.3678
_cell_length_b 7.6492
_cell_length_c 7.6492
_cell_angle_alpha 87.81
_cell_angle_beta 90.00
_cell_angle_gamma 90.00
_symmetry_space_group_name_H-M 'P 1'
_symmetry_Int_Tables_number 1
loop_
_symmetry_equiv_pos_as_xyz
'x,y,z'
loop_
_atom_site_label
_atom_site_fract_x
_atom_site_fract_y
_atom_site_fract_z
_atom_site_occupancy
Tb1 0.0000 0.1961 0.8039 1
Tb2 0.0000 0.8039 0.1961 1
Sc1 0.5000 0.5000 0.0000 1
Sc2 0.0000 0.2303 0.2303 1
Sc3 0.0000 0.7697 0.7697 1
Sc4 0.5000 0.0000 0.5000 1
Er1 0.5000 0.5000 0.5000 1
```

Calculated values
V = 197 Å³ per cell
formation energy = 0.175 eV/atom
SG = Cmmm (65)
raw total energy = -5.42 eV per atom
ρ = 5.61 g/cm3
M_tot = 0.0 μB per cell

---

Entry 3:
Computed, not measured: ErAlPdRh after structural relaxation at the PBE level of DFT.

Geometry as CIF:
```
data_ErAlPdRh
_cell_length_a 4.5990
_cell_length_b 4.5990
_cell_length_c 4.5990
_cell_angle_alpha 60.00
_cell_angle_beta 60.00
_cell_angle_gamma 60.00
_symmetry_space_group_name_H-M 'P 1'
_symmetry_Int_Tables_number 1
loop_
_symmetry_equiv_pos_as_xyz
'x,y,z'
loop_
_atom_site_label
_atom_site_fract_x
_atom_site_fract_y
_atom_site_fract_z
_atom_site_occupancy
Al1 0.7500 0.7500 0.7500 1
Pd1 0.5000 0.5000 0.5000 1
Er1 0.2500 0.2500 0.2500 1
Rh1 0.0000 0.0000 0.0000 1
```

Calculated values
V = 69 Å³ per cell
formation energy = -0.885 eV/atom
SG = F-43m (216)
raw total energy = -6.10 eV per atom
ρ = 9.74 g/cm3
M_tot = 0.0 μB per cell

---

Entry 4:
Computed, not measured: PmTl2Ge after structural relaxation at the PBE level of DFT.

Geometry as CIF:
```
data_PmTl2Ge
_cell_length_a 3.5085
_cell_length_b 3.5085
_cell_length_c 11.2844
_cell_angle_alpha 81.06
_cell_angle_beta 81.06
_cell_angle_gamma 60.00
_symmetry_space_group_name_H-M 'P 1'
_symmetry_Int_Tables_number 1
loop_
_symmetry_equiv_pos_as_xyz
'x,y,z'
loop_
_atom_site_label
_atom_site_fract_x
_atom_site_fract_y
_atom_site_fract_z
_atom_site_occupancy
Tl1 0.0961 0.0961 0.7117 1
Tl2 0.9039 0.9039 0.2883 1
Pm1 0.0000 0.0000 0.0000 1
Ge1 0.5000 0.5000 0.5000 1
```

Calculated values
V = 118 Å³ per cell
formation energy = 0.198 eV/atom
SG = R-3m (166)
raw total energy = -3.33 eV per atom
ρ = 8.79 g/cm3
M_tot = 0.0 μB per cell

---

What did the fourth record say?
Computed, not measured: PmTl2Ge after structural relaxation at the PBE level of DFT.

Geometry as CIF:
```
data_PmTl2Ge
_cell_length_a 3.5085
_cell_length_b 3.5085
_cell_length_c 11.2844
_cell_angle_alpha 81.06
_cell_angle_beta 81.06
_cell_angle_gamma 60.00
_symmetry_space_group_name_H-M 'P 1'
_symmetry_Int_Tables_number 1
loop_
_symmetry_equiv_pos_as_xyz
'x,y,z'
loop_
_atom_site_label
_atom_site_fract_x
_atom_site_fract_y
_atom_site_fract_z
_atom_site_occupancy
Tl1 0.0961 0.0961 0.7117 1
Tl2 0.9039 0.9039 0.2883 1
Pm1 0.0000 0.0000 0.0000 1
Ge1 0.5000 0.5000 0.5000 1
```

Calculated values
V = 118 Å³ per cell
formation energy = 0.198 eV/atom
SG = R-3m (166)
raw total energy = -3.33 eV per atom
ρ = 8.79 g/cm3
M_tot = 0.0 μB per cell